1.
Compound: MgCd2Cu
Source: the Alexandria database
Functional: PBEsol
Structure: relaxed

CIF file:
```
data_MgCd2Cu
_cell_length_a 4.143
_cell_length_b 4.143
_cell_length_c 8.180
_cell_angle_alpha 90.00
_cell_angle_beta 90.00
_cell_angle_gamma 90.00
_space_group_name_H-M_alt 'I -4 m 2'
_space_group_IT_number 119
_space_group_name_Hall 'I -4 -2'
loop_
_atom_site_label
_atom_site_fract_x
_atom_site_fract_y
_atom_site_fract_z
Mg1 0.000 0.000 0.000
Cd1 0.000 0.000 0.500
Cd2 0.000 0.500 0.250
Cu1 0.000 0.500 0.750
```

Calculated values
The size of the total moment is 0.000 μB/cell. As for the total energy: -2.117 eV/atom.

2.
Compound: MnWAu2
Source: the Alexandria database
Functional: PBEsol
Structure: relaxed

CIF file:
```
data_MnWAu2
_cell_length_a 9.129
_cell_length_b 2.792
_cell_length_c 4.932
_cell_angle_alpha 90.00
_cell_angle_beta 100.08
_cell_angle_gamma 90.00
_space_group_name_H-M_alt 'C 1 m 1'
_space_group_IT_number 8
_space_group_name_Hall 'C -2y'
loop_
_atom_site_label
_atom_site_fract_x
_atom_site_fract_y
_atom_site_fract_z
Mn1 0.000 0.000 0.000
W1 0.238 0.500 0.235
Au1 0.250 0.000 0.750
Au2 0.491 0.000 0.480
```

Calculated values
The size of the total moment is 5.642 μB/cell. As for the total energy: -7.563 eV/atom.

3.
Compound: HfSeIN2
Source: the Alexandria database
Functional: PBEsol
Structure: relaxed

CIF file:
```
data_HfSeIN2
_cell_length_a 4.081
_cell_length_b 4.081
_cell_length_c 6.157
_cell_angle_alpha 90.00
_cell_angle_beta 90.00
_cell_angle_gamma 90.00
_space_group_name_H-M_alt 'P 4/m m m'
_space_group_IT_number 123
_space_group_name_Hall '-P 4 2'
loop_
_atom_site_label
_atom_site_fract_x
_atom_site_fract_y
_atom_site_fract_z
Hf1 0.000 0.000 0.000
Se1 0.500 0.500 0.500
I1 0.000 0.000 0.500
N1 0.000 0.500 0.000
```

Calculated values
The size of the total moment is 0.004 μB/cell. As for the total energy: -6.166 eV/atom. The value obtained for the formation energy without anion corrections is 0.47 eV per atom.